[1]
# ZrIn2Fe PBE-GGA optimized geometry
data_ZrIn2Fe
_chemical_formula_sum 'Zr2 In4 Fe2'
_cell_length_a 3.497
_cell_length_b 4.734
_cell_length_c 9.742
_cell_angle_alpha 90.00
_cell_angle_beta 90.00
_cell_angle_gamma 90.00
_space_group_name_H-M_alt 'I m m 2'
_space_group_IT_number 44
loop_
_space_group_symop_operation_xyz
'x,y,z'
'-x,-y,z'
'-x,y,z'
'x,-y,z'
'x+1/2,y+1/2,z+1/2'
'-x+1/2,-y+1/2,z+1/2'
'-x+1/2,y+1/2,z+1/2'
'x+1/2,-y+1/2,z+1/2'
loop_
_atom_site_label
_atom_site_type_symbol
_atom_site_fract_x
_atom_site_fract_y
_atom_site_fract_z
_atom_site_occupancy
Zr1 Zr 0.000 0.000 0.000 1
In1 In 0.000 0.000 0.562 1
In2 In 0.000 0.500 0.781 1
Fe1 Fe 0.000 0.500 0.294 1
# E_form = 0.06 eV/atom
# Magnetic moment = 0.4152 μB/atom



[2]
# TaZn2Ag PBE-GGA optimized geometry
data_TaZn2Ag
_chemical_formula_sum 'Ta2 Zn4 Ag2'
_cell_length_a 10.636
_cell_length_b 2.652
_cell_length_c 5.110
_cell_angle_alpha 90.00
_cell_angle_beta 113.71
_cell_angle_gamma 90.00
_space_group_name_H-M_alt 'C 1 m 1'
_space_group_IT_number 8
loop_
_space_group_symop_operation_xyz
'x,y,z'
'x,-y,z'
'x+1/2,y+1/2,z'
'x+1/2,-y+1/2,z'
loop_
_atom_site_label
_atom_site_type_symbol
_atom_site_fract_x
_atom_site_fract_y
_atom_site_fract_z
_atom_site_occupancy
Ta1 Ta 0.000 0.000 0.000 1
Zn1 Zn 0.246 0.500 0.066 1
Zn2 Zn 0.488 0.000 0.490 1
Ag1 Ag 0.241 0.000 0.571 1
# E_form = 0.16 eV/atom
# Magnetic moment = 0.0000 μB/atom
# Energy above the most stable polymorph in this dataset = 0.175 eV per atom



[3]
# Cs2AlPPd PBE-GGA optimized geometry
data_Cs2AlPPd
_chemical_formula_sum 'Cs2 Al1 P1 Pd1'
_cell_length_a 7.049
_cell_length_b 7.049
_cell_length_c 4.407
_cell_angle_alpha 90.00
_cell_angle_beta 90.00
_cell_angle_gamma 90.00
_space_group_name_H-M_alt 'P 4/m m m'
_space_group_IT_number 123
_space_group_name_Hall '-P 4 2'
loop_
_atom_site_label
_atom_site_type_symbol
_atom_site_fract_x
_atom_site_fract_y
_atom_site_fract_z
_atom_site_occupancy
Cs1 Cs 0.000 0.500 0.000 1
Al1 Al 0.000 0.000 0.500 1
P1 P 0.500 0.500 0.000 1
Pd1 Pd 0.500 0.500 0.500 1
# E_form = 0.22 eV/atom
# Magnetic moment = 0.1424 μB/atom



[4]
# CsIn2Ag2 PBE-GGA optimized geometry
data_CsIn2Ag2
_chemical_formula_sum 'Cs2 In4 Ag4'
_cell_length_a 4.931
_cell_length_b 4.931
_cell_length_c 12.508
_cell_angle_alpha 90.00
_cell_angle_beta 90.00
_cell_angle_gamma 90.00
_space_group_name_H-M_alt 'I 4/m m m'
_space_group_IT_number 139
_space_group_name_Hall '-I 4 2'
loop_
_atom_site_label
_atom_site_type_symbol
_atom_site_fract_x
_atom_site_fract_y
_atom_site_fract_z
_atom_site_occupancy
Cs1 Cs 0.000 0.000 0.000 1
In1 In 0.000 0.500 0.250 1
Ag1 Ag 0.000 0.000 0.380 1
# E_form = 0.03 eV/atom
# Magnetic moment = 0.0000 μB/atom
# Energy above the most stable polymorph in this dataset = 0.048 eV per atom



[5]
# Pr8H3C3O PBE-GGA optimized geometry
data_Pr8H3C3O
_chemical_formula_sum 'Pr24 H9 C9 O3'
_cell_length_a 7.4725
_cell_length_b 7.4725
_cell_length_c 18.7088
_cell_angle_alpha 90.00
_cell_angle_beta 90.00
_cell_angle_gamma 120.00
_space_group_name_H-M_alt 'R -3 m'
_space_group_IT_number 166
_space_group_name_Hall '-R 3 2"'
loop_
_atom_site_label
_atom_site_type_symbol
_atom_site_fract_x
_atom_site_fract_y
_atom_site_fract_z
_atom_site_occupancy
Pr1 Pr 0.0000 0.0000 0.2450 1
Pr2 Pr 0.0029 0.5015 0.7578 1
H1 H 0.0000 0.5000 0.0000 1
C1 C 0.0000 0.5000 0.5000 1
O1 O 0.0000 0.0000 0.5000 1
# Calculated total energy = -5.981 eV per atom
# Magnetic moment = 0.0000 μB/atom



[6]
# CsTaAl PBE-GGA optimized geometry
data_CsTaAl
_chemical_formula_sum 'Cs2 Ta2 Al2'
_cell_length_a 3.686
_cell_length_b 4.899
_cell_length_c 13.454
_cell_angle_alpha 79.77
_cell_angle_beta 89.79
_cell_angle_gamma 67.91
_space_group_name_H-M_alt 'P 1'
_space_group_IT_number 1
loop_
_space_group_symop_operation_xyz
'x,y,z'
loop_
_atom_site_label
_atom_site_type_symbol
_atom_site_fract_x
_atom_site_fract_y
_atom_site_fract_z
_atom_site_occupancy
Cs1 Cs 0.000 0.000 0.000 1
Cs2 Cs 0.370 0.276 0.381 1
Ta1 Ta 0.358 0.290 0.728 1
Ta2 Ta 0.670 0.665 0.787 1
Al1 Al 0.040 0.929 0.645 1
Al2 Al 0.725 0.561 0.583 1
# E_form = 0.50 eV/atom
# Magnetic moment = 0.0000 μB/atom
# Energy above the most stable polymorph in this dataset = 0.281 eV per atom



[7]
# VCdH PBE-GGA optimized geometry
data_VCdH
_chemical_formula_sum 'V4 Cd4 H4'
_cell_length_a 5.836
_cell_length_b 6.246
_cell_length_c 5.229
_cell_angle_alpha 90.00
_cell_angle_beta 120.04
_cell_angle_gamma 90.00
_space_group_name_H-M_alt 'C 1 m 1'
_space_group_IT_number 8
loop_
_space_group_symop_operation_xyz
'x,y,z'
'x,-y,z'
'x+1/2,y+1/2,z'
'x+1/2,-y+1/2,z'
loop_
_atom_site_label
_atom_site_type_symbol
_atom_site_fract_x
_atom_site_fract_y
_atom_site_fract_z
_atom_site_occupancy
V1 V 0.000 0.000 0.000 1
V2 V 0.171 0.500 0.027 1
Cd1 Cd 0.113 0.232 0.555 1
H1 H 0.146 0.246 0.147 1
# Magnetic moment = 0.0000 μB/atom
# Energy above the most stable polymorph in this dataset = 0.285 eV per atom



[8]
# LaBe3Cd PBE-GGA optimized geometry
data_LaBe3Cd
_chemical_formula_sum 'La1 Be3 Cd1'
_cell_length_a 5.145
_cell_length_b 5.145
_cell_length_c 5.145
_cell_angle_alpha 90.00
_cell_angle_beta 90.00
_cell_angle_gamma 90.00
_space_group_name_H-M_alt 'P m -3 m'
_space_group_IT_number 221
_space_group_name_Hall '-P 4 2 3'
loop_
_atom_site_label
_atom_site_type_symbol
_atom_site_fract_x
_atom_site_fract_y
_atom_site_fract_z
_atom_site_occupancy
La1 La 0.000 0.000 0.000 1
Be1 Be 0.000 0.000 0.500 1
Cd1 Cd 0.500 0.500 0.500 1
# E_form = 1.83 eV/atom
# Magnetic moment = 0.0000 μB/atom
# Energy above the most stable polymorph in this dataset = 1.322 eV per atom



[9]
# Rb4Np3CrS8 PBE-GGA optimized geometry
data_Rb4Np3CrS8
_chemical_formula_sum 'Rb12 Np9 Cr3 S24'
_cell_length_a 8.0632
_cell_length_b 8.0632
_cell_length_c 22.9592
_cell_angle_alpha 90.00
_cell_angle_beta 90.00
_cell_angle_gamma 120.00
_space_group_name_H-M_alt 'R -3 m'
_space_group_IT_number 166
_space_group_name_Hall '-R 3 2"'
loop_
_atom_site_label
_atom_site_type_symbol
_atom_site_fract_x
_atom_site_fract_y
_atom_site_fract_z
_atom_site_occupancy
Rb1 Rb 0.0000 0.0000 0.0000 1
Rb2 Rb 0.0000 0.5000 0.0000 1
Np1 Np 0.0000 0.5000 0.5000 1
Cr1 Cr 0.0000 0.0000 0.5000 1
S1 S 0.0000 0.0000 0.2312 1
S2 S 0.0105 0.5052 0.2283 1
# Magnetic moment = 0.9375 μB/atom
# Formation energy from raw total energies = -1.218 eV per atom



[10]
# TmHfIrOs PBE-GGA optimized geometry
data_TmHfIrOs
_chemical_formula_sum 'Tm1 Hf1 Ir1 Os1'
_cell_length_a 3.329
_cell_length_b 3.329
_cell_length_c 6.587
_cell_angle_alpha 90.00
_cell_angle_beta 90.00
_cell_angle_gamma 90.00
_space_group_name_H-M_alt 'P 4 m m'
_space_group_IT_number 99
loop_
_space_group_symop_operation_xyz
'x,y,z'
'-y,x,z'
'-x,-y,z'
'y,-x,z'
'-x,y,z'
'y,x,z'
'x,-y,z'
'-y,-x,z'
loop_
_atom_site_label
_atom_site_type_symbol
_atom_site_fract_x
_atom_site_fract_y
_atom_site_fract_z
_atom_site_occupancy
Tm1 Tm 0.000 0.000 0.000 1
Hf1 Hf 0.000 0.000 0.501 1
Ir1 Ir 0.500 0.500 0.265 1
Os1 Os 0.500 0.500 0.733 1
# E_form = -0.74 eV/atom
# Magnetic moment = 0.0000 μB/atom
# Energy above the most stable polymorph in this dataset = 0.000 eV per atom



[11]
# PuMgIn4 PBE-GGA optimized geometry
data_PuMgIn4
_chemical_formula_sum 'Pu1 Mg1 In4'
_cell_length_a 5.267
_cell_length_b 3.204
_cell_length_c 8.890
_cell_angle_alpha 90.00
_cell_angle_beta 90.11
_cell_angle_gamma 90.00
_space_group_name_H-M_alt 'P 1 m 1'
_space_group_IT_number 6
loop_
_space_group_symop_operation_xyz
'x,y,z'
'x,-y,z'
loop_
_atom_site_label
_atom_site_type_symbol
_atom_site_fract_x
_atom_site_fract_y
_atom_site_fract_z
_atom_site_occupancy
Pu1 Pu 0.000 0.000 0.000 1
Mg1 Mg 0.499 0.000 0.501 1
In1 In 0.001 0.500 0.337 1
In2 In 0.499 0.500 0.827 1
In3 In 0.501 0.500 0.173 1
In4 In 0.998 0.500 0.663 1
# E_form = -0.11 eV/atom
# Magnetic moment = 0.9667 μB/atom
# Energy above the most stable polymorph in this dataset = 0.000 eV per atom



[12]
# Mg3CoAu PBE-GGA optimized geometry
data_Mg3CoAu
_chemical_formula_sum 'Mg3 Co1 Au1'
_cell_length_a 4.706
_cell_length_b 4.706
_cell_length_c 4.706
_cell_angle_alpha 90.00
_cell_angle_beta 90.00
_cell_angle_gamma 90.00
_space_group_name_H-M_alt 'P m -3 m'
_space_group_IT_number 221
_space_group_name_Hall '-P 4 2 3'
loop_
_atom_site_label
_atom_site_type_symbol
_atom_site_fract_x
_atom_site_fract_y
_atom_site_fract_z
_atom_site_occupancy
Mg1 Mg 0.000 0.000 0.500 1
Co1 Co 0.000 0.000 0.000 1
Au1 Au 0.500 0.500 0.500 1
# E_form = 0.30 eV/atom
# Magnetic moment = 0.0000 μB/atom
# Energy above the most stable polymorph in this dataset = 0.000 eV per atom



[13]
# LiCa2MnSi PBE-GGA optimized geometry
data_LiCa2MnSi
_chemical_formula_sum 'Li1 Ca2 Mn1 Si1'
_cell_length_a 5.727
_cell_length_b 5.727
_cell_length_c 4.612
_cell_angle_alpha 90.00
_cell_angle_beta 90.00
_cell_angle_gamma 90.00
_space_group_name_H-M_alt 'P 4/m m m'
_space_group_IT_number 123
_space_group_name_Hall '-P 4 2'
loop_
_atom_site_label
_atom_site_type_symbol
_atom_site_fract_x
_atom_site_fract_y
_atom_site_fract_z
_atom_site_occupancy
Li1 Li 0.000 0.000 0.000 1
Ca1 Ca 0.000 0.500 0.500 1
Mn1 Mn 0.500 0.500 0.000 1
Si1 Si 0.500 0.500 0.500 1
# Magnetic moment = 0.7521 μB/atom
# Formation energy from raw total energies = 0.148 eV per atom



[14]
# Tl4Br2Cl PBE-GGA optimized geometry
data_Tl4Br2Cl
_chemical_formula_sum 'Tl8 Br4 Cl2'
_cell_length_a 5.923
_cell_length_b 5.923
_cell_length_c 18.625
_cell_angle_alpha 90.00
_cell_angle_beta 90.00
_cell_angle_gamma 90.00
_space_group_name_H-M_alt 'I 4/m m m'
_space_group_IT_number 139
_space_group_name_Hall '-I 4 2'
loop_
_atom_site_label
_atom_site_type_symbol
_atom_site_fract_x
_atom_site_fract_y
_atom_site_fract_z
_atom_site_occupancy
Tl1 Tl 0.000 0.000 0.241 1
Tl2 Tl 0.000 0.500 0.000 1
Br1 Br 0.000 0.000 0.399 1
Cl1 Cl 0.000 0.000 0.000 1
# Magnetic moment = 0.0000 μB/atom
# Formation energy from raw total energies = -0.557 eV per atom